Record 1
A plane-wave DFT calculation with PBE-GGA was carried out for a geometry-optimized ZrMnS2 structure.

Values from the calculation:
Fermi-level density of states in states/eV per atom: 1.07
E_form (uncorrected) in eV/atom: -0.634
Space-group type: I-42d, No. 122

Lattice parameters (Å, degrees): 6.739 6.739 6.739 134.50 134.50 66.31
Atoms (fractional coordinates):
Zr  0.000  0.000  0.000
Zr  0.750  0.250  0.500
Mn  0.250  0.750  0.500
Mn  0.500  0.500  0.000
S  0.180  0.625  0.055
S  0.375  0.430  0.555
S  0.570  0.125  0.945
S  0.875  0.820  0.445

***

Record 2
A plane-wave DFT calculation with PBE-GGA was carried out for a geometry-optimized AlTlHg structure.

Values from the calculation:
Fermi-level density of states in states/eV per atom: 0.34
Space-group type: I4mm, No. 107
Calculated total energy in eV per cell: -5.9

Lattice parameters (Å, degrees): 6.818 6.818 6.818 151.17 151.17 41.23
Atoms (fractional coordinates):
Al  0.000  0.000  0.000
Tl  0.326  0.326  0.000
Hg  0.632  0.632  0.000

***

Record 3
A plane-wave DFT calculation with PBE-GGA was carried out for a geometry-optimized Tl2InFe structure.

Values from the calculation:
Fermi-level density of states in states/eV per atom: 0.58
Space-group type: I-4m2, No. 119
Calculated total energy in eV per cell: -13.9

Lattice parameters (Å, degrees): 5.727 5.727 5.727 134.56 134.56 66.21
Atoms (fractional coordinates):
Tl  0.000  0.000  0.000
Tl  0.750  0.250  0.500
In  0.500  0.500  0.000
Fe  0.250  0.750  0.500

***

Number 1: calculated density 4.557 g/cm3. Number 2: calculated density 9.754 g/cm3. Number 3: calculated density 10.248 g/cm3.